[1]
Material: GdIr
Method: DFT, PBE
State: optimized geometry

The structure in POSCAR format:
```
GdIr
1.0
1.9248 1.1113 3.5384
-1.9248 1.1113 3.5384
0.0000 -2.2226 3.5384
Gd Ir
1 1
Cartesian
0.0000 0.0000 0.0000
0.0000 0.0000 5.3076
```

Energy of formation from the pure elements in eV per atom: -0.39
Magnetic moment in μB per cell: 0.001

=====

[2]
Material: GdMgTe3Au
Method: DFT, PBE
State: optimized geometry

The structure in POSCAR format:
```
GdMgTe3Au
1.0
2.1020 -7.5720 0.0000
2.1020 7.5720 0.0000
0.0000 0.0000 11.2425
Gd Mg Te Au
2 2 6 2
Cartesian
0.0000 0.0000 0.0000
0.0000 0.0000 5.6212
2.1020 5.3087 8.4319
2.1020 -5.3087 2.8106
2.1020 6.1067 2.8106
2.1020 2.2675 0.7000
2.1020 2.2675 4.9213
2.1020 -2.2675 6.3212
2.1020 -2.2675 10.5425
2.1020 -6.1067 8.4319
2.1020 0.3196 2.8106
2.1020 -0.3196 8.4319
```

Energy relative to the lowest polymorph listed for this composition in meV/atom: 0
Magnetic moment in μB per cell: 0.007

=====

[3]
Material: BaNaDyS3
Method: DFT, PBE
State: optimized geometry

The structure in POSCAR format:
```
BaNaDyS3
1.0
10.4397 0.0000 0.0000
0.0000 4.2550 0.0000
0.0000 0.0000 13.8131
Ba Na Dy S
4 4 4 12
Cartesian
2.5870 1.0637 0.0788
2.6329 3.1912 6.9854
7.8068 1.0637 6.8277
7.8527 3.1912 13.7342
2.5777 3.1912 10.7143
2.6422 1.0637 3.8078
7.7975 3.1912 10.0053
7.8620 1.0637 3.0988
0.0310 3.1912 3.4645
5.1888 1.0637 10.3710
5.2509 3.1912 3.4421
10.4087 1.0637 10.3486
0.4459 3.1912 12.1545
0.5122 1.0637 5.2576
2.5831 1.0637 9.3020
2.6367 3.1912 2.3954
4.7076 3.1912 12.1642
4.7740 1.0637 5.2479
5.6658 3.1912 8.5652
5.7321 1.0637 1.6489
7.8030 1.0637 11.4176
7.8566 3.1912 4.5111
9.9275 3.1912 8.5555
9.9938 1.0637 1.6586
```

E in eV per atom: -5.132
Magnetic moment in μB per cell: 0.008

=====

[4]
Material: LiLu2Cd
Method: DFT, PBE
State: optimized geometry

The structure in POSCAR format:
```
LiLu2Cd
1.0
0.0000 3.6099 3.6099
3.6099 0.0000 3.6099
3.6099 3.6099 0.0000
Li Lu Cd
1 2 1
Cartesian
0.0000 0.0000 0.0000
3.6099 3.6099 3.6099
5.4148 5.4148 5.4148
1.8049 1.8049 1.8049
```

E in eV per atom: -2.907
Magnetic moment in μB per cell: 0.007

=====

[5]
Material: Y2NbCoSi2
Method: DFT, PBE
State: optimized geometry

The structure in POSCAR format:
```
Y2NbCoSi2
1.0
3.9432 0.0000 0.0000
0.0000 3.9432 0.0000
0.0000 0.0000 7.3614
Y Nb Co Si
2 1 1 2
Cartesian
0.0000 1.9716 1.1425
1.9716 0.0000 6.2189
0.0000 0.0000 3.6807
1.9716 1.9716 3.6807
0.0000 1.9716 5.3381
1.9716 0.0000 2.0233
```

E in eV per atom: -7.412
Magnetic moment in μB per cell: 0.526

=====

[6]
Material: Cs2TeWS2
Method: DFT, PBE
State: optimized geometry

The structure in POSCAR format:
```
Cs2TeWS2
1.0
7.2727 -3.7581 0.0000
7.2727 3.7581 0.0000
-6.1709 0.0000 8.6157
Cs Te W S
4 2 2 4
Cartesian
-1.1626 0.0000 3.0861
3.0222 0.0000 1.4328
5.3523 0.0000 7.1829
9.5370 0.0000 5.5297
2.0540 0.0000 5.1643
6.3204 0.0000 3.4514
0.5408 0.0000 7.2966
7.8336 0.0000 1.3191
-1.6313 0.0000 6.7266
7.2727 1.7957 0.0000
7.2727 -1.7957 0.0000
10.0057 0.0000 1.8891
```

E in eV per atom: -5.143
Magnetic moment in μB per cell: 0.439

=====

[7]
Material: LaPuNp
Method: DFT, PBE
State: optimized geometry

The structure in POSCAR format:
```
LaPuNp
1.0
0.0000 3.4960 3.4960
3.4960 0.0000 3.4960
3.4960 3.4960 0.0000
La Pu Np
1 1 1
Cartesian
0.0000 0.0000 0.0000
1.7480 1.7480 1.7480
5.2440 5.2440 5.2440
```

Energy of formation from the pure elements in eV per atom: 0.97
Magnetic moment in μB per cell: 10.440

=====

[8]
Material: TlGa3W4
Method: DFT, PBE
State: optimized geometry

The structure in POSCAR format:
```
TlGa3W4
1.0
-3.2054 3.2054 4.7575
3.2054 -3.2054 4.7575
3.2054 3.2054 -4.7575
Tl Ga W
1 3 4
Cartesian
0.0000 0.0000 0.0000
3.2054 0.0000 2.3788
0.0000 0.0000 4.7575
0.0000 3.2054 2.3788
2.3137 2.3137 -2.2468
0.8917 0.8917 2.5107
0.8917 -0.8917 7.0044
-0.8917 0.8917 7.0044
```

E in eV per atom: -6.574
Magnetic moment in μB per cell: 0.006

=====

[9]
Material: TaBeAsO
Method: DFT, PBE
State: optimized geometry

The structure in POSCAR format:
```
TaBeAsO
1.0
3.6461 0.0000 0.0000
0.0000 6.1037 0.0000
0.0000 0.0000 4.9848
Ta Be As O
2 2 2 2
Cartesian
0.0000 0.9261 0.0000
0.0000 5.1776 2.4924
1.8231 2.6795 3.4083
1.8231 3.4242 0.9159
0.0000 1.6254 2.4754
0.0000 4.4783 4.9678
1.8231 2.0270 4.9552
1.8231 4.0767 2.4628
```

Energy relative to the lowest polymorph listed for this composition in meV/atom: 149
Magnetic moment in μB per cell: 0.001

=====

[10]
Material: Sr3Zn2O5
Method: DFT, PBE
State: optimized geometry

The structure in POSCAR format:
```
Sr3Zn2O5
1.0
-1.7163 2.0044 10.5313
1.7163 -2.0044 10.5313
1.7163 2.0044 -10.5313
Sr Zn O
3 2 5
Cartesian
0.0000 0.0000 0.0000
0.0000 0.0000 3.9628
0.0000 0.0000 17.0999
0.0000 0.0000 8.4894
0.0000 0.0000 12.5733
1.7163 0.0000 2.0231
0.0000 0.0000 6.4493
0.0000 0.0000 10.5313
0.0000 0.0000 14.6134
0.0000 2.0044 8.5082
```

Energy relative to the lowest polymorph listed for this composition in meV/atom: 0

=====

[11]
Material: Dy2Er2Lu3Te2Pd2
Method: DFT, PBE
State: optimized geometry

The structure in POSCAR format:
```
Dy2Er2Lu3Te2Pd2
1.0
-1.9499 7.7526 4.7981
1.9499 -7.7526 4.7981
1.9499 7.7526 -4.7981
Dy Er Lu Te Pd
2 2 3 2 2
Cartesian
0.0000 2.8354 0.0000
0.0000 12.6698 0.0000
0.0000 5.7398 1.9983
0.0000 9.7655 1.9983
1.9499 0.0000 1.2154
1.9499 5.5401 -1.3580
0.0000 2.2125 3.4401
1.9499 0.0000 4.4503
0.0000 0.0000 8.2536
1.9499 3.6480 1.8991
0.0000 4.1046 6.6972
```

Energy relative to the lowest polymorph listed for this composition in meV/atom: 19
Magnetic moment in μB per cell: 0.008

=====

[12]
Material: MoIr3
Method: DFT, PBE
State: optimized geometry

The structure in POSCAR format:
```
MoIr3
1.0
5.5401 0.0000 0.0000
-2.7700 4.7978 0.0000
0.0000 0.0000 4.4160
Mo Ir
2 6
Cartesian
0.0000 3.1986 1.1040
2.7700 1.5993 3.3120
0.0000 1.5986 3.3120
-1.3856 3.9985 3.3120
1.3844 0.7993 1.1040
1.3856 3.9985 3.3120
4.1557 0.7993 1.1040
2.7700 3.1993 1.1040
```

Energy of formation from the pure elements in eV per atom: -0.33
Magnetic moment in μB per cell: 0.001